This record from Alexandria via LeMat-Bulk describes a relaxed structure of MnAl2GaNi. The functional is PBE-GGA.

It has space group P4/mmm (No. 123), with a = 4.5681 Å, b = 4.5681 Å, c = 4.5852 Å, α = 90.00°, β = 90.00° and γ = 90.00°. The inequivalent atoms are Mn at (0.0000, 0.0000, 0.0000), Al at (0.0000, 0.5000, 0.5000), Ga at (0.0000, 0.0000, 0.5000) and Ni at (0.5000, 0.5000, 0.0000).

The formation energy is 0.9269 eV/atom. As for the crystal system: tetragonal.